Record 1
Computed, not measured: Sm6Y4Sc after structural relaxation at the PBE level of DFT.

abc: 5.6202 5.6202 25.7560
angles: 90.00 90.00 118.31
With the nearest neighbours (Å) after each atom.
Positions (direct):
Sm1 0.0000 0.0000 0.0000  8 Y 3.20-3.54
Sm2 0.0000 0.0000 0.5000  8 Y 3.20-3.54
Sm3 0.0361 0.9639 0.7500  3 Sc 3.24-3.29, 2 Y 3.26, 2 Sm 3.62
Sm4 0.3054 0.6946 0.1056  5 Y 3.30-3.60
Sm5 0.3054 0.6946 0.3944  5 Y 3.30-3.60
Sm6 0.3670 0.6330 0.6839  5 Sm 3.41-3.75, 4 Y 3.56-3.65, 3 Sc 3.64-3.72
Sm7 0.3670 0.6330 0.8161  5 Sm 3.41-3.75, 4 Y 3.56-3.65, 3 Sc 3.64-3.72
Sm8 0.6330 0.3670 0.1839  5 Sm 3.41-3.75, 4 Y 3.56-3.65, 3 Sc 3.64-3.72
Sm9 0.6330 0.3670 0.3161  5 Sm 3.41-3.75, 4 Y 3.56-3.65, 3 Sc 3.64-3.72
Sm10 0.6946 0.3054 0.6056  5 Y 3.30-3.60
Sm11 0.6946 0.3054 0.8944  5 Y 3.30-3.60
Sm12 0.9639 0.0361 0.2500  3 Sc 3.24-3.29, 2 Y 3.26, 2 Sm 3.62
Y1 0.0347 0.9653 0.6234  6 Sm 3.20-3.56
Y2 0.0347 0.9653 0.8766  6 Sm 3.20-3.56
Y3 0.3467 0.6533 0.5444  7 Sm 3.43-3.71, 2 Y 3.63-3.74
Y4 0.3467 0.6533 0.9556  7 Sm 3.43-3.71, 2 Y 3.63-3.74
Y5 0.6533 0.3467 0.0444  7 Sm 3.43-3.71, 2 Y 3.63-3.74
Y6 0.6533 0.3467 0.4556  7 Sm 3.43-3.71, 2 Y 3.63-3.74
Y7 0.9653 0.0347 0.1234  6 Sm 3.20-3.56
Y8 0.9653 0.0347 0.3766  6 Sm 3.20-3.56
Sc1 0.3001 0.6999 0.2500  3 Sm 3.24-3.29
Sc2 0.6999 0.3001 0.7500  3 Sm 3.24-3.29

- magnetization (μB/f.u.) = 0.00
- energy relative to the elements (meV per atom) = 133
- density of states at the Fermi level (states/eV/f.u.) = 19.4
- symmetry = No. 63
- electronic total energy (eV per atom) = -5.367
- volume (Å³ per atom) = 32.56

Record 2
Computed, not measured: SmY2Sc4 after structural relaxation at the PBE level of DFT.

abc: 3.6163 21.2581 5.2613
angles: 90.00 90.00 90.00
With the nearest neighbours (Å) after each atom.
Positions (direct):
Sm1 0.0000 0.0000 0.0000  8 Y 3.57, 2 Sm 3.62
Sm2 0.5000 0.5000 0.0000  8 Y 3.57, 2 Sm 3.62
Y1 0.0000 0.4253 0.5000  1 Y 3.18, 4 Sc 3.19-3.49
Y2 0.0000 0.5747 0.5000  1 Y 3.18, 4 Sc 3.19-3.49
Y3 0.5000 0.0747 0.5000  1 Y 3.18, 4 Sc 3.19-3.49
Y4 0.5000 0.9253 0.5000  1 Y 3.18, 4 Sc 3.19-3.49
Sc1 0.0000 0.1980 0.5000  2 Sc 2.85, 2 Y 3.19
Sc2 0.0000 0.3172 0.0000  6 Sc 3.21-3.38, 2 Y 3.49
Sc3 0.0000 0.6828 0.0000  6 Sc 3.21-3.38, 2 Y 3.49
Sc4 0.0000 0.8020 0.5000  2 Sc 2.85, 2 Y 3.19
Sc5 0.5000 0.1828 0.0000  6 Sc 3.21-3.38, 2 Y 3.49
Sc6 0.5000 0.3020 0.5000  2 Sc 2.85, 2 Y 3.19
Sc7 0.5000 0.6980 0.5000  2 Sc 2.85, 2 Y 3.19
Sc8 0.5000 0.8172 0.0000  6 Sc 3.21-3.38, 2 Y 3.49

- magnetization (μB/f.u.) = 0.00
- energy relative to the elements (meV per atom) = 178
- density of states at the Fermi level (states/eV/f.u.) = 12.5
- distance to the lowest polymorph of the same formula (meV/atom) = 113
- symmetry = No. 65
- electronic total energy (eV per atom) = -5.961
- volume (Å³ per atom) = 28.89

Record 3
Computed, not measured: SmY6Sc4 after structural relaxation at the PBE level of DFT.

abc: 8.7090 8.7090 5.2821
angles: 90.00 90.00 120.00
With the nearest neighbours (Å) after each atom.
Positions (direct):
Sm1 0.0000 0.0000 0.0000  12 Y 4.00-4.38, 6 Sc 4.17
Y1 0.1995 0.3991 0.5000  4 Sc 3.13-3.32, 2 Y 3.50
Y2 0.1995 0.8005 0.5000  4 Sc 3.13-3.32, 2 Y 3.50
Y3 0.5335 0.0671 0.0000  5 Sc 3.02-3.26
Y4 0.5335 0.4665 0.0000  5 Sc 3.02-3.26
Y5 0.6009 0.8005 0.5000  4 Sc 3.13-3.32, 2 Y 3.50
Y6 0.9329 0.4665 0.0000  5 Sc 3.02-3.26
Sc1 0.3333 0.6667 0.0000  9 Y 3.02-3.32
Sc2 0.4287 0.2143 0.5000  2 Sc 3.11, 6 Y 3.13-3.26
Sc3 0.7857 0.2143 0.5000  2 Sc 3.11, 6 Y 3.13-3.26
Sc4 0.7857 0.5713 0.5000  2 Sc 3.11, 6 Y 3.13-3.26

- magnetization (μB/f.u.) = 0.00
- energy relative to the elements (meV per atom) = 318
- density of states at the Fermi level (states/eV/f.u.) = 19.0
- symmetry = No. 187
- electronic total energy (eV per atom) = -5.939
- volume (Å³ per atom) = 31.54

Record 4
Computed, not measured: Sm3Y7Sc after structural relaxation at the PBE level of DFT.

abc: 7.0616 7.0616 8.5992
angles: 90.00 90.00 120.00
With the nearest neighbours (Å) after each atom.
Positions (direct):
Sm1 0.0023 0.5011 0.0000  4 Sm 3.51-3.55, 5 Y 3.51-3.56, 1 Sc 3.52
Sm2 0.4989 0.5011 0.0000  4 Sm 3.51-3.55, 5 Y 3.51-3.56, 1 Sc 3.52
Sm3 0.4989 0.9977 0.0000  4 Sm 3.51-3.55, 5 Y 3.51-3.56, 1 Sc 3.52
Y1 0.1685 0.3369 0.6585  1 Sc 3.44, 8 Y 3.48-3.57, 2 Sm 3.56
Y2 0.1685 0.8315 0.6585  1 Sc 3.44, 8 Y 3.48-3.57, 2 Sm 3.56
Y3 0.3351 0.1675 0.3317  7 Y 3.48-3.55, 2 Sm 3.51, 2 Sc 3.53
Y4 0.6631 0.8315 0.6585  1 Sc 3.44, 8 Y 3.48-3.57, 2 Sm 3.56
Y5 0.6667 0.3333 0.6612  9 Y 3.48-3.53, 3 Sm 3.56
Y6 0.8325 0.1675 0.3317  7 Y 3.48-3.55, 2 Sm 3.51, 2 Sc 3.53
Y7 0.8325 0.6649 0.3317  7 Y 3.48-3.55, 2 Sm 3.51, 2 Sc 3.53
Sc1 0.3333 0.6667 0.3348  9 Y 3.44-3.53, 3 Sm 3.52

- magnetization (μB/f.u.) = 0.00
- energy relative to the elements (meV per atom) = 191
- density of states at the Fermi level (states/eV/f.u.) = 17.7
- distance to the lowest polymorph of the same formula (meV/atom) = 38
- symmetry = No. 156
- electronic total energy (eV per atom) = -5.785
- volume (Å³ per atom) = 33.76

Record 5
Computed, not measured: Sm3Y4Sc after structural relaxation at the PBE level of DFT.

abc: 11.3046 7.2698 6.2638
angles: 90.00 90.00 90.00
With the nearest neighbours (Å) after each atom.
Positions (direct):
Sm1 0.0000 0.1240 0.0000  4 Sm 3.50-3.51, 6 Y 3.56-3.65, 2 Sc 3.61-3.64
Sm2 0.2503 0.1217 0.3278  4 Sm 3.50-3.60, 2 Sc 3.50-3.52, 6 Y 3.53-3.68
Sm3 0.2497 0.8783 0.8278  4 Sm 3.50-3.60, 2 Sc 3.50-3.52, 6 Y 3.53-3.68
Sm4 0.5000 0.8760 0.5000  4 Sm 3.50-3.51, 6 Y 3.56-3.65, 2 Sc 3.61-3.64
Sm5 0.7497 0.1217 0.3278  4 Sm 3.50-3.60, 2 Sc 3.50-3.52, 6 Y 3.53-3.68
Sm6 0.7503 0.8783 0.8278  4 Sm 3.50-3.60, 2 Sc 3.50-3.52, 6 Y 3.53-3.68
Y1 0.0000 0.3722 0.5000  6 Y 3.48-3.66, 4 Sm 3.53-3.61, 2 Sc 3.63-3.64
Y2 0.0000 0.6255 0.9943  6 Y 3.50-3.66, 4 Sm 3.53-3.65, 2 Sc 3.60-3.63
Y3 0.2449 0.6265 0.3368  1 Sc 3.45, 6 Y 3.48-3.63, 5 Sm 3.56-3.68
Y4 0.2551 0.3735 0.8368  1 Sc 3.45, 6 Y 3.48-3.63, 5 Sm 3.56-3.68
Y5 0.5000 0.3745 0.4943  6 Y 3.50-3.66, 4 Sm 3.53-3.65, 2 Sc 3.60-3.63
Y6 0.5000 0.6278 0.0000  6 Y 3.48-3.66, 4 Sm 3.53-3.61, 2 Sc 3.63-3.64
Y7 0.7449 0.3735 0.8368  1 Sc 3.45, 6 Y 3.48-3.63, 5 Sm 3.56-3.68
Y8 0.7551 0.6265 0.3368  1 Sc 3.45, 6 Y 3.48-3.63, 5 Sm 3.56-3.68
Sc1 0.0000 0.8736 0.4972  6 Y 3.45-3.64, 6 Sm 3.50-3.64
Sc2 0.5000 0.1264 0.9972  6 Y 3.45-3.64, 6 Sm 3.50-3.64

- magnetization (μB/f.u.) = 0.00
- energy relative to the elements (meV per atom) = 24
- density of states at the Fermi level (states/eV/f.u.) = 14.4
- distance to the lowest polymorph of the same formula (meV/atom) = 0
- symmetry = No. 31
- electronic total energy (eV per atom) = -5.770
- volume (Å³ per atom) = 32.17

Record 6
Computed, not measured: Sm5Y3Sc2 after structural relaxation at the PBE level of DFT.

abc: 9.3388 9.3388 9.4905
angles: 108.52 108.52 110.45
With the nearest neighbours (Å) after each atom.
Positions (direct):
Sm1 0.0159 0.9841 0.7500  3 Sm 3.14-3.50, 4 Sc 3.27-3.50, 2 Y 3.46
Sm2 0.1271 0.3957 0.7796  3 Y 3.43-3.68, 3 Sc 3.44-3.84, 3 Sm 3.50-3.65
Sm3 0.2206 0.7794 0.7500  3 Sm 3.14-3.51, 2 Sc 3.32, 4 Y 3.35-3.37
Sm4 0.3957 0.1271 0.2796  3 Y 3.43-3.68, 3 Sc 3.44-3.84, 3 Sm 3.50-3.65
Sm5 0.4743 0.5257 0.2500  3 Y 3.02-3.30
Sm6 0.5257 0.4743 0.7500  3 Y 3.02-3.30
Sm7 0.6043 0.8729 0.7204  3 Y 3.43-3.68, 3 Sc 3.44-3.84, 3 Sm 3.50-3.65
Sm8 0.7794 0.2206 0.2500  3 Sm 3.14-3.51, 2 Sc 3.32, 4 Y 3.35-3.37
Sm9 0.8729 0.6043 0.2204  3 Y 3.43-3.68, 3 Sc 3.44-3.84, 3 Sm 3.50-3.65
Sm10 0.9841 0.0159 0.2500  3 Sm 3.14-3.50, 4 Sc 3.27-3.50, 2 Y 3.46
Y1 0.2177 0.4672 0.4506  1 Sc 3.15, 6 Sm 3.30-3.52, 1 Y 3.50
Y2 0.2773 0.7227 0.2500  1 Sm 3.02, 2 Sc 3.27
Y3 0.4672 0.2177 0.9506  1 Sc 3.15, 6 Sm 3.30-3.52, 1 Y 3.50
Y4 0.5328 0.7823 0.0494  1 Sc 3.15, 6 Sm 3.30-3.52, 1 Y 3.50
Y5 0.7227 0.2773 0.7500  1 Sm 3.02, 2 Sc 3.27
Y6 0.7823 0.5328 0.5494  1 Sc 3.15, 6 Sm 3.30-3.52, 1 Y 3.50
Sc1 0.0129 0.2746 0.0515  3 Y 3.15-3.46, 4 Sm 3.27-3.50
Sc2 0.2746 0.0129 0.5515  3 Y 3.15-3.46, 4 Sm 3.27-3.50
Sc3 0.7254 0.9871 0.4485  3 Y 3.15-3.46, 4 Sm 3.27-3.50
Sc4 0.9871 0.7254 0.9485  3 Y 3.15-3.46, 4 Sm 3.27-3.50

- magnetization (μB/f.u.) = 0.00
- energy relative to the elements (meV per atom) = 194
- density of states at the Fermi level (states/eV/f.u.) = 17.9
- symmetry = No. 15
- electronic total energy (eV per atom) = -5.371
- volume (Å³ per atom) = 32.21

Question: magnetization of number 4 (Sm3Y7Sc)?
Answer: 0.00 μB/f.u.